{"formula": "La2SmSe3", "functional": "PBE-GGA", "state": "relaxed", "polymorph_energy_ev_per_atom": 0.006, "crystal_system": "orthorhombic", "formation_energy_uncorrected_ev_per_atom": -1.9360, "dft_energy_ev_per_atom": -6.11, "lattice_angstrom": [[4.265, 0.000, 0.000], [0.000, 6.039, 0.000], [-2.133, -3.019, 6.399]], "species": ["La", "La", "Sm", "Se", "Se", "Se"], "frac_coords": [[0.832, 0.832, 0.164], [0.168, 0.168, 0.836], [0.500, 0.500, 0.500], [0.838, 0.338, 0.177], [0.162, 0.662, 0.823], [0.500, 0.000, 0.500]]}